# 1
Material: Na3Ga9Hg2
Method: DFT, PBE
State: relaxed

```
Na3Ga9Hg2
1.0
-2.268 4.990 6.562
2.268 -4.990 6.562
2.268 4.990 -6.562
Na Ga Hg
3 9 2
Cartesian
0.000 0.000 0.000 Na
0.000 0.000 3.944 Na
0.000 0.000 9.179 Na
2.268 -1.284 2.116 Ga
2.268 -2.264 4.584 Ga
2.268 1.284 2.116 Ga
0.000 2.726 1.977 Ga
0.000 4.990 0.000 Ga
2.268 2.264 4.584 Ga
0.000 3.706 4.446 Ga
0.000 7.254 1.977 Ga
0.000 6.274 4.446 Ga
2.268 3.149 0.000 Hg
0.000 1.841 6.562 Hg
```

Summary:
- Energy relative to the elements: -0.090 eV/atom
- D(E_F): 0.353 states/eV/atom
- Total magnetic moment: 0.00 μB per atom
- Uncorrected energy: -2.361 eV per atom
- V: 297 Å³ per cell
- Crystal system: orthorhombic

=====

# 2
Material: Mg5Ag2Hg12
Method: DFT, PBE
State: relaxed

```
Mg5Ag2Hg12
1.0
7.402 -3.836 0.000
7.402 3.836 0.000
-0.364 0.000 7.693
Mg Ag Hg
5 2 12
Cartesian
0.000 0.000 0.000 Mg
3.445 0.000 0.171 Mg
4.803 0.000 4.463 Mg
9.637 0.000 3.230 Mg
10.995 0.000 7.522 Mg
7.220 2.395 3.846 Ag
7.220 -2.395 3.846 Ag
4.569 2.163 2.266 Hg
2.100 0.000 2.760 Hg
5.500 1.542 7.107 Hg
9.871 2.163 5.427 Hg
8.939 1.542 0.586 Hg
6.786 0.000 2.207 Hg
7.654 0.000 5.486 Hg
5.500 -1.542 7.107 Hg
4.569 -2.163 2.266 Hg
8.939 -1.542 0.586 Hg
12.340 0.000 4.933 Hg
9.871 -2.163 5.427 Hg
```

Summary:
- Energy relative to the elements: -0.050 eV/atom
- D(E_F): 0.292 states/eV/atom
- Total magnetic moment: 0.00 μB per atom
- Uncorrected energy: -0.960 eV per atom
- V: 437 Å³ per cell
- Crystal system: monoclinic

=====

# 3
Material: UReB2
Method: DFT, PBE
State: relaxed

```
UReB2
1.0
1.611 0.930 5.776
-1.611 0.930 5.776
0.000 -1.861 5.776
U Re B
1 1 2
Cartesian
0.000 0.000 0.000 U
0.000 0.000 8.663 Re
0.000 0.000 4.083 B
0.000 0.000 13.244 B
```

Summary:
- Energy relative to the elements: -0.081 eV/atom
- D(E_F): 1.043 states/eV/atom
- Total magnetic moment: 0.20 μB per atom
- Uncorrected energy: -9.354 eV per atom
- Excess energy over the best structure of this formula in the dataset: 0.695 eV/f.u.
- V: 52 Å³ per cell
- Crystal system: trigonal

=====

# 4
Material: NaNdRe2O8
Method: DFT, PBE
State: relaxed

```
NaNdRe2O8
1.0
-2.689 2.689 5.844
2.689 -2.689 5.844
2.689 2.689 -5.844
Na Nd Re O
1 1 2 8
Cartesian
0.000 0.000 0.000 Na
2.689 0.000 2.922 Nd
0.000 0.000 5.844 Re
0.000 2.689 2.922 Re
1.335 -0.776 4.906 O
1.913 1.354 0.939 O
-0.864 1.360 2.049 O
1.354 3.465 -0.939 O
1.329 1.825 3.795 O
0.776 1.335 6.783 O
0.864 4.018 2.049 O
-1.329 3.553 3.795 O
```

Summary:
- D(E_F): 0.346 states/eV/atom
- Total magnetic moment: 0.16 μB per atom
- Uncorrected energy: -7.873 eV per atom
- Raw formation energy: -1.985 eV/atom
- V: 169 Å³ per cell
- Crystal system: tetragonal

=====

# 5
Material: Si2TcI2
Method: DFT, PBE
State: relaxed

```
Si2TcI2
1.0
7.347 0.000 0.000
0.000 7.347 0.000
0.000 0.000 4.695
Si Tc I
4 2 4
Cartesian
0.874 2.800 0.000 Si
2.800 6.474 0.000 Si
4.547 0.874 0.000 Si
6.474 4.547 0.000 Si
0.000 0.000 2.347 Tc
3.674 3.674 2.347 Tc
1.301 4.975 2.347 I
2.373 1.301 2.347 I
4.975 6.046 2.347 I
6.046 2.373 2.347 I
```

Summary:
- D(E_F): 0.915 states/eV/atom
- Total magnetic moment: 0.36 μB per atom
- Uncorrected energy: -3.627 eV per atom
- Raw formation energy: 1.235 eV/atom
- Excess energy over the best structure of this formula in the dataset: 2.367 eV/f.u.
- V: 253 Å³ per cell
- Crystal system: tetragonal

=====

# 6
Material: PuMgTe2
Method: DFT, PBE
State: relaxed

```
PuMgTe2
1.0
2.152 1.242 7.291
-2.152 1.242 7.291
0.000 -2.485 7.291
Pu Mg Te
1 1 2
Cartesian
0.000 0.000 0.000 Pu
0.000 0.000 10.936 Mg
0.000 0.000 5.312 Te
0.000 0.000 16.561 Te
```

Summary:
- D(E_F): 2.916 states/eV/atom
- Total magnetic moment: 1.50 μB per atom
- Uncorrected energy: -6.425 eV per atom
- Raw formation energy: -0.872 eV/atom
- Excess energy over the best structure of this formula in the dataset: 0.000 eV/f.u.
- V: 117 Å³ per cell
- Crystal system: trigonal

=====

# 7
Material: SnSbIN2
Method: DFT, PBE
State: relaxed

```
SnSbIN2
1.0
4.280 0.000 0.000
0.000 4.280 0.000
0.000 0.000 6.113
Sn Sb I N
1 1 1 2
Cartesian
0.000 0.000 0.000 Sn
2.140 2.140 3.057 Sb
2.140 2.140 0.000 I
0.000 2.140 3.057 N
2.140 0.000 3.057 N
```

Summary:
- D(E_F): 0.483 states/eV/atom
- Total magnetic moment: 0.00 μB per atom
- Uncorrected energy: -3.976 eV per atom
- Raw formation energy: 1.290 eV/atom
- Excess energy over the best structure of this formula in the dataset: 0.000 eV/f.u.
- V: 112 Å³ per cell
- Crystal system: tetragonal

=====

# 8
Material: HfAu3C
Method: DFT, PBE
State: relaxed

```
HfAu3C
1.0
4.397 0.000 0.000
0.000 4.397 0.000
0.000 0.000 4.397
Hf Au C
1 3 1
Cartesian
0.000 0.000 0.000 Hf
0.000 2.198 2.198 Au
2.198 0.000 2.198 Au
2.198 2.198 0.000 Au
2.198 2.198 2.198 C
```

Summary:
- Energy relative to the elements: 0.697 eV/atom
- D(E_F): 1.294 states/eV/atom
- Total magnetic moment: 0.00 μB per atom
- Uncorrected energy: -5.105 eV per atom
- Excess energy over the best structure of this formula in the dataset: 0.000 eV/f.u.
- V: 85 Å³ per cell
- Crystal system: cubic

=====

# 9
Material: Y2NbNiSn
Method: DFT, PBE
State: relaxed

```
Y2NbNiSn
1.0
5.668 0.000 0.000
0.000 5.668 0.000
0.000 0.000 4.575
Y Nb Ni Sn
2 1 1 1
Cartesian
0.000 2.834 0.000 Y
2.834 0.000 0.000 Y
0.000 0.000 2.288 Nb
2.834 2.834 2.288 Ni
2.834 2.834 0.000 Sn
```

Summary:
- Energy relative to the elements: 0.856 eV/atom
- D(E_F): 1.034 states/eV/atom
- Total magnetic moment: 0.68 μB per atom
- Uncorrected energy: -5.701 eV per atom
- V: 147 Å³ per cell
- Crystal system: tetragonal

=====

# 10
Material: TbAl3
Method: DFT, PBE
State: relaxed

```
TbAl3
1.0
6.272 0.000 0.000
-3.136 5.431 0.000
0.000 0.000 4.661
Tb Al
2 6
Cartesian
0.000 3.621 1.165 Tb
3.136 1.810 3.496 Tb
0.000 1.588 3.496 Al
-1.760 4.637 3.496 Al
1.375 0.794 1.165 Al
1.760 4.637 3.496 Al
4.896 0.794 1.165 Al
3.136 3.843 1.165 Al
```

Summary:
- Energy relative to the elements: -0.439 eV/atom
- D(E_F): 0.433 states/eV/atom
- Total magnetic moment: 0.00 μB per atom
- Uncorrected energy: -4.403 eV per atom
- V: 159 Å³ per cell
- Crystal system: hexagonal

=====

# 11
Material: HgSb2Se
Method: DFT, PBE
State: relaxed

```
HgSb2Se
1.0
5.245 0.000 0.000
0.000 5.245 0.000
0.000 0.000 3.638
Hg Sb Se
1 2 1
Cartesian
0.000 0.000 0.000 Hg
0.000 2.623 1.819 Sb
2.623 0.000 1.819 Sb
2.623 2.623 0.000 Se
```

Summary:
- D(E_F): 0.680 states/eV/atom
- Total magnetic moment: 0.00 μB per atom
- Uncorrected energy: -2.800 eV per atom
- Raw formation energy: 0.207 eV/atom
- Excess energy over the best structure of this formula in the dataset: 0.842 eV/f.u.
- V: 100 Å³ per cell
- Crystal system: tetragonal

=====

# 12
Material: CaSiSb2
Method: DFT, PBE
State: relaxed

```
CaSiSb2
1.0
-1.903 2.553 5.170
1.903 -2.553 5.170
1.903 2.553 -5.170
Ca Si Sb
1 1 2
Cartesian
0.000 0.000 0.000 Ca
0.000 2.553 2.550 Si
1.903 0.000 2.921 Sb
0.000 0.000 5.660 Sb
```

Summary:
- D(E_F): 0.435 states/eV/atom
- Total magnetic moment: 0.00 μB per atom
- Uncorrected energy: -4.072 eV per atom
- Raw formation energy: -0.155 eV/atom
- V: 100 Å³ per cell
- Crystal system: orthorhombic

=====

# 13
Material: Sr2Tl3
Method: DFT, PBE
State: relaxed

```
Sr2Tl3
1.0
3.257 -5.931 0.000
3.257 5.931 0.000
0.000 0.000 9.065
Sr Tl
4 6
Cartesian
3.257 4.186 8.137 Sr
3.257 1.745 3.605 Sr
3.257 -1.745 5.460 Sr
3.257 -4.186 0.928 Sr
0.000 0.000 4.533 Tl
1.628 1.457 6.799 Tl
1.628 -1.457 2.266 Tl
3.257 0.000 0.000 Tl
4.885 1.457 6.799 Tl
4.885 -1.457 2.266 Tl
```

Summary:
- Energy relative to the elements: -0.298 eV/atom
- D(E_F): 0.605 states/eV/atom
- Total magnetic moment: 0.00 μB per atom
- Uncorrected energy: -2.391 eV per atom
- V: 350 Å³ per cell
- Crystal system: orthorhombic

=====

# 14
Material: Ba2CaBe
Method: DFT, PBE
State: relaxed

```
Ba2CaBe
1.0
-5.586 5.586 2.998
5.586 -5.586 2.998
5.586 5.586 -2.998
Ba Ca Be
4 2 2
Cartesian
1.377 2.793 0.749 Ba
-2.793 4.209 2.248 Ba
-1.377 8.378 0.749 Ba
2.793 6.962 2.248 Ba
5.586 0.000 1.499 Ca
0.000 0.000 2.998 Ca
0.000 0.000 0.000 Be
0.000 5.586 1.499 Be
```

Summary:
- Energy relative to the elements: 0.470 eV/atom
- D(E_F): 1.308 states/eV/atom
- Total magnetic moment: 0.00 μB per atom
- Uncorrected energy: -1.924 eV per atom
- V: 374 Å³ per cell
- Crystal system: tetragonal

=====

# 15
Material: Rb4Hg5Bi2
Method: DFT, PBE
State: relaxed

```
Rb4Hg5Bi2
1.0
8.544 0.000 0.000
0.000 5.663 0.000
-0.622 0.000 9.529
Rb Hg Bi
4 5 2
Cartesian
1.776 0.000 3.573 Rb
1.469 0.000 8.644 Rb
6.454 0.000 0.885 Rb
6.146 0.000 5.957 Rb
1.079 2.831 5.928 Hg
3.758 2.831 1.487 Hg
3.961 2.831 4.765 Hg
4.164 2.831 8.043 Hg
6.843 2.831 3.602 Hg
0.515 2.831 1.428 Bi
7.408 2.831 8.101 Bi
```

Summary:
- Energy relative to the elements: -0.240 eV/atom
- D(E_F): 0.471 states/eV/atom
- Total magnetic moment: 0.00 μB per atom
- Uncorrected energy: -1.435 eV per atom
- V: 461 Å³ per cell
- Crystal system: monoclinic

=====

# 16
Material: LiAcTmMg
Method: DFT, PBE
State: relaxed

```
LiAcTmMg
1.0
0.000 3.920 3.920
3.920 0.000 3.920
3.920 3.920 0.000
Li Ac Tm Mg
1 1 1 1
Cartesian
0.000 0.000 0.000 Li
5.880 5.880 5.880 Ac
1.960 1.960 1.960 Tm
3.920 3.920 3.920 Mg
```

Summary:
- Energy relative to the elements: 0.061 eV/atom
- D(E_F): 1.399 states/eV/atom
- Total magnetic moment: 0.00 μB per atom
- Uncorrected energy: -2.961 eV per atom
- V: 120 Å³ per cell
- Crystal system: cubic

=====

# 17
Material: YMnFeSi3
Method: DFT, PBE
State: relaxed

```
YMnFeSi3
1.0
2.894 -5.563 0.000
2.894 5.563 0.000
0.000 0.000 6.070
Y Mn Fe Si
2 2 2 6
Cartesian
2.894 2.925 4.553 Y
2.894 -2.925 1.518 Y
2.894 0.131 1.518 Mn
2.894 -0.131 4.553 Mn
2.894 4.349 1.518 Fe
2.894 -4.349 4.553 Fe
1.192 0.000 0.000 Si
1.192 0.000 3.035 Si
2.894 2.241 1.518 Si
2.894 -2.241 4.553 Si
4.596 0.000 0.000 Si
4.596 0.000 3.035 Si
```

Summary:
- D(E_F): 0.201 states/eV/atom
- Total magnetic moment: 0.00 μB per atom
- Uncorrected energy: -7.036 eV per atom
- Raw formation energy: -0.308 eV/atom
- V: 195 Å³ per cell
- Crystal system: orthorhombic

=====

# 18
Material: ZnMo3
Method: DFT, PBE
State: relaxed

```
ZnMo3
1.0
3.291 0.000 0.000
0.000 3.291 0.000
0.000 0.000 5.695
Zn Mo
1 3
Cartesian
0.000 0.000 0.000 Zn
0.000 0.000 2.847 Mo
1.646 1.646 1.386 Mo
1.646 1.646 4.309 Mo
```

Summary:
- Energy relative to the elements: 0.175 eV/atom
- D(E_F): 0.993 states/eV/atom
- Total magnetic moment: 0.00 μB per atom
- Uncorrected energy: -8.267 eV per atom
- Excess energy over the best structure of this formula in the dataset: 0.573 eV/f.u.
- V: 62 Å³ per cell
- Crystal system: tetragonal

=====

# 19
Material: Re5C4
Method: DFT, PBE
State: relaxed

```
Re5C4
1.0
6.102 0.000 0.000
-3.051 5.284 0.000
0.000 0.000 6.147
Re C
10 8
Cartesian
-0.770 1.334 1.537 Re
-2.281 3.951 4.610 Re
1.540 0.000 1.537 Re
0.770 1.334 4.610 Re
0.000 3.523 0.000 Re
0.000 3.523 3.074 Re
3.051 1.761 0.000 Re
3.051 1.761 3.074 Re
4.562 0.000 4.610 Re
2.281 3.951 1.537 Re
0.000 0.000 0.000 C
0.000 0.000 3.074 C
-1.265 2.191 4.610 C
-1.786 3.093 1.537 C
2.530 0.000 4.610 C
1.265 2.191 1.537 C
3.572 0.000 1.537 C
1.786 3.093 4.610 C
```

Summary:
- Energy relative to the elements: 0.785 eV/atom
- D(E_F): 0.651 states/eV/atom
- Total magnetic moment: 0.00 μB per atom
- Uncorrected energy: -10.230 eV per atom
- Excess energy over the best structure of this formula in the dataset: 0.000 eV/f.u.
- V: 198 Å³ per cell
- Crystal system: hexagonal

=====

# 20
Material: La7Dy3Ho
Method: DFT, PBE
State: relaxed

```
La7Dy3Ho
1.0
6.949 0.000 0.000
-3.036 9.757 0.000
-2.367 -2.877 11.446
La Dy Ho
14 6 2
Cartesian
0.000 0.000 0.000 La
-3.658 4.902 7.857 La
-0.835 0.719 3.814 La
-3.360 3.462 10.951 La
0.127 -1.192 7.366 La
-0.036 4.532 2.544 La
-1.110 6.211 5.757 La
0.766 3.442 5.727 La
2.522 1.459 2.133 La
-0.065 4.152 9.543 La
2.816 0.022 5.225 La
3.270 5.121 1.648 La
3.769 -1.785 8.262 La
5.070 2.770 0.034 La
-1.944 7.832 2.693 Dy
-0.837 0.401 10.531 Dy
-2.081 6.899 10.396 Dy
1.863 1.516 8.415 Dy
2.299 6.721 4.807 Dy
4.088 3.460 4.676 Dy
-1.775 1.675 7.489 Ho
1.368 7.992 1.763 Ho
```

Summary:
- Energy relative to the elements: 0.067 eV/atom
- D(E_F): 1.531 states/eV/atom
- Total magnetic moment: 0.00 μB per atom
- Uncorrected energy: -4.740 eV per atom
- Excess energy over the best structure of this formula in the dataset: 0.000 eV/f.u.
- V: 776 Å³ per cell
- Crystal system: triclinic